# K2Cr2O7

An optimized crystal structure of K2Cr2O7 (PBE with a Hubbard U, Alexandria).

```
data_K2Cr2O7
_cell_length_a 8.3948
_cell_length_b 8.3948
_cell_length_c 8.3384
_cell_angle_alpha 104.26
_cell_angle_beta 104.26
_cell_angle_gamma 43.49
_symmetry_space_group_name_H-M 'P 1'
_symmetry_Int_Tables_number 1
_symmetry_space_group_name_Hall 'P 1'
loop_
_atom_site_label
_atom_site_fract_x
_atom_site_fract_y
_atom_site_fract_z
K1 0.1131 0.1131 0.1831
K2 0.1375 0.1375 0.6915
K3 0.8625 0.8625 0.3085
K4 0.8869 0.8869 0.8169
Cr1 0.3580 0.3580 0.5965
Cr2 0.3609 0.3609 0.0177
Cr3 0.6391 0.6391 0.9823
Cr4 0.6420 0.6420 0.4035
O1 0.1979 0.6309 0.5795
O2 0.2010 0.6353 0.0874
O3 0.2639 0.2639 0.4530
O4 0.2685 0.2685 0.0736
O5 0.3309 0.3309 0.7938
O6 0.3647 0.7990 0.9126
O7 0.3691 0.8021 0.4205
O8 0.6309 0.1979 0.5795
O9 0.6353 0.2010 0.0874
O10 0.6691 0.6691 0.2062
O11 0.7315 0.7315 0.9264
O12 0.7361 0.7361 0.5470
O13 0.7990 0.3647 0.9126
O14 0.8021 0.3691 0.4205
```

VASP energy   -136.4 eV for the cell shown
Magnetic moment   0.00 μB per cell
Fermi-level density of states   0.00 states/eV per atom
Energy above the most stable polymorph in this dataset   3.1 kJ/mol of atoms